[1]
LiTcN3: PBEsol geometry, meta-GGA SCAN.

Computed properties:
Crystal system ... cubic
Electronic total energy ... -12.660 eV/atom
Uncorrected formation energy ... 2.02 eV per formula unit

The structure in CIF format:
```
data_LiTcN3
_symmetry_space_group_name_H-M 'P m -3 m'
_symmetry_Int_Tables_number 221
_symmetry_space_group_name_Hall '-P 4 2 3'
_cell_length_a 3.831
_cell_length_b 3.831
_cell_length_c 3.831
_cell_angle_alpha 90.00
_cell_angle_beta 90.00
_cell_angle_gamma 90.00
loop_
_atom_site_label
_atom_site_fract_x
_atom_site_fract_y
_atom_site_fract_z
Li1 0.000 0.000 0.000
Tc1 0.500 0.500 0.500
N1 0.000 0.500 0.500
```


[2]
LiTcN2: PBEsol geometry, meta-GGA SCAN.

Computed properties:
Crystal system ... tetragonal
Electronic total energy ... -14.392 eV/atom
Uncorrected formation energy ... -1.53 eV per formula unit

The structure in CIF format:
```
data_LiTcN2
_symmetry_space_group_name_H-M 'I -4 2 d'
_symmetry_Int_Tables_number 122
_symmetry_space_group_name_Hall 'I -4 2bw'
_cell_length_a 4.582
_cell_length_b 4.582
_cell_length_c 9.053
_cell_angle_alpha 90.00
_cell_angle_beta 90.00
_cell_angle_gamma 90.00
loop_
_atom_site_label
_atom_site_fract_x
_atom_site_fract_y
_atom_site_fract_z
Li1 0.000 0.000 0.000
Tc1 0.000 0.000 0.500
N1 0.204 0.250 0.625
```